No. 1
{"formula": "Na3SrPb", "functional": "GGA-PBE", "state": "optimized geometry", "lattice_angstrom": [[5.9585, 0.0000, 0.0000], [0.0000, 5.9585, 0.0000], [0.0000, 0.0000, 5.9585]], "species": ["Pb", "Sr", "Na", "Na", "Na"], "frac_coords": [[0.0000, 0.0000, 0.0000], [0.5000, 0.5000, 0.5000], [0.0000, 0.5000, 0.0000], [0.0000, 0.0000, 0.5000], [0.5000, 0.0000, 0.0000]], "formation_enthalpy_0k_ev_per_fu": 0.29, "polymorph_energy_mev_per_atom": 0, "dos_at_fermi_per_ev_atom": 0.4928, "mass_density_kg_m3": 2856}

=====

No. 2
{"formula": "Rh3Au", "functional": "GGA-PBE", "state": "optimized geometry", "lattice_angstrom": [[5.0059, 0.0000, 0.0000], [0.0000, 5.0059, 0.0000], [0.0000, 0.0000, 5.0059]], "species": ["Rh", "Rh", "Rh", "Rh", "Rh", "Rh", "Au", "Au"], "frac_coords": [[0.0000, 0.2500, 0.5000], [0.0000, 0.7500, 0.5000], [0.2500, 0.5000, 0.0000], [0.5000, 0.0000, 0.2500], [0.5000, 0.0000, 0.7500], [0.7500, 0.5000, 0.0000], [0.0000, 0.0000, 0.0000], [0.5000, 0.5000, 0.5000]], "formation_enthalpy_0k_ev_per_fu": 1.51, "dos_at_fermi_per_ev_atom": 1.8041, "mass_density_kg_m3": 13387}

=====

No. 3
{"formula": "Hf3BeNi", "functional": "GGA-PBE", "state": "optimized geometry", "lattice_angstrom": [[4.5798, 0.0000, 0.0000], [0.0000, 4.5798, 0.0000], [0.0000, 0.0000, 4.5798]], "species": ["Ni", "Hf", "Hf", "Hf", "Be"], "frac_coords": [[0.5000, 0.5000, 0.5000], [0.0000, 0.5000, 0.0000], [0.0000, 0.0000, 0.5000], [0.5000, 0.0000, 0.0000], [0.0000, 0.0000, 0.0000]], "formation_enthalpy_0k_ev_per_fu": 2.64, "polymorph_energy_mev_per_atom": 0, "dos_at_fermi_per_ev_atom": 1.7311, "mass_density_kg_m3": 10427}

=====

No. 4
{"formula": "YScHg2", "functional": "GGA-PBE", "state": "optimized geometry", "lattice_angstrom": [[-0.4512, -1.1112, -6.0772], [4.6637, -2.7500, -3.0096], [-4.1092, -0.4247, 4.6157]], "species": ["Hg", "Hg", "Sc", "Y"], "frac_coords": [[0.9876, 0.9876, 0.0000], [0.7585, 0.2585, 0.5000], [0.5117, 0.5117, 0.0000], [0.2423, 0.7423, 0.5000]], "formation_enthalpy_0k_ev_per_fu": -1.26, "polymorph_energy_mev_per_atom": 151, "dos_at_fermi_per_ev_atom": 1.4018, "mass_density_kg_m3": 9141}